(1)
Cs2PAu | GGA-PBE | relaxed

Output
* size of the total moment: 2.00 μB per cell
* calculated formation energy: 0.1529 eV per atom
* DFT total energy: -2.45 eV per atom

a b c (Å): 6.1481 6.1481 6.1481
angles (deg): 60.00 60.00 60.00
Fractional coordinates of all 4 atoms:
Cs: 0.2500 0.2500 0.2500
Cs: 0.7500 0.7500 0.7500
P: 0.0000 0.0000 0.0000
Au: 0.5000 0.5000 0.5000

(2)
PmDyOsPt | GGA-PBE | relaxed

Output
* size of the total moment: 0.00 μB per cell
* calculated formation energy: -0.5525 eV per atom
* DFT total energy: -7.21 eV per atom

a b c (Å): 4.9379 4.9379 4.9379
angles (deg): 60.00 60.00 60.00
Fractional coordinates of all 4 atoms:
Pm: 0.0000 0.0000 0.0000
Dy: 0.5000 0.5000 0.5000
Os: 0.7500 0.7500 0.7500
Pt: 0.2500 0.2500 0.2500

(3)
HoAlTc | GGA-PBE | relaxed

Output
* size of the total moment: 0.00 μB per cell
* calculated formation energy: -0.2511 eV per atom
* ΔE to the lowest computed polymorph: 0.194 eV per atom
* DFT total energy: -6.48 eV per atom

a b c (Å): 5.4623 5.4623 5.4623
angles (deg): 143.49 143.49 52.58
Fractional coordinates of all 3 atoms:
Ho: 0.0000 0.0000 0.0000
Al: 0.2924 0.2924 0.0000
Tc: 0.6882 0.6882 0.0000